Entry 1:
VASP calculation (GGA-PBE) on a geometry-optimized Li2YW structure.

ΔE_f   910 meV per atom

POSCAR file:
```
Li2YW
1.0
3.971 0.000 0.000
0.000 3.971 0.000
0.000 0.000 21.689
Li Y W
8 4 4
direct
0.203 0.750 0.125 Li
0.250 0.203 0.875 Li
0.250 0.297 0.375 Li
0.297 0.750 0.625 Li
0.703 0.250 0.625 Li
0.750 0.703 0.375 Li
0.750 0.797 0.875 Li
0.797 0.250 0.125 Li
0.000 0.000 0.500 Y
0.000 0.500 0.750 Y
0.500 0.000 0.250 Y
0.500 0.500 0.000 Y
0.000 0.000 0.000 W
0.000 0.500 0.250 W
0.500 0.000 0.750 W
0.500 0.500 0.500 W
```

---

Entry 2:
VASP calculation (GGA-PBE) on a geometry-optimized La3ScP structure.

ΔE_f   -354 meV per atom

POSCAR file:
```
La3ScP
1.0
5.643 0.000 0.000
0.000 5.643 0.000
0.000 0.000 5.643
La Sc P
3 1 1
direct
0.000 0.000 0.500 La
0.000 0.500 0.000 La
0.500 0.000 0.000 La
0.500 0.500 0.500 Sc
0.000 0.000 0.000 P
```

---

Entry 3:
VASP calculation (GGA-PBE) on a geometry-optimized YTiAu2S structure.

E_form (uncorrected)   10.30 kcal/mol of atoms

POSCAR file:
```
YTiAu2S
1.0
4.777 0.000 0.000
0.000 4.777 0.000
0.000 0.000 5.956
Y Ti Au S
1 1 2 1
direct
0.000 0.000 0.000 Y
0.000 0.000 0.500 Ti
0.000 0.500 0.500 Au
0.500 0.000 0.500 Au
0.500 0.500 0.000 S
```

---

Entry 4:
VASP calculation (GGA-PBE) on a geometry-optimized La2NdDyY2 structure.

ΔE_f   263 meV per atom

POSCAR file:
```
La2NdDyY2
1.0
6.807 0.000 0.000
0.000 17.947 0.000
0.000 0.000 3.426
La Nd Dy Y
4 2 2 4
direct
0.240 0.175 0.000 La
0.260 0.675 0.500 La
0.740 0.325 0.500 La
0.760 0.825 0.000 La
0.000 0.000 0.000 Nd
0.500 0.500 0.500 Nd
0.000 0.500 0.000 Dy
0.500 0.000 0.500 Dy
0.231 0.347 0.500 Y
0.269 0.847 0.000 Y
0.731 0.153 0.000 Y
0.769 0.653 0.500 Y
```

---

Entry 5:
VASP calculation (GGA-PBE) on a geometry-optimized Sm6Tl6Cd structure.

ΔE_f   -206 meV per atom

POSCAR file:
```
Sm6Tl6Cd
1.0
6.554 0.000 0.000
-3.277 5.676 0.000
0.000 0.000 10.678
Sm Tl Cd
6 6 1
direct
0.000 0.000 0.190 Sm
0.000 0.000 0.810 Sm
0.333 0.667 0.000 Sm
0.333 0.667 0.500 Sm
0.667 0.333 0.000 Sm
0.667 0.333 0.500 Sm
0.000 0.500 0.250 Tl
0.000 0.500 0.750 Tl
0.500 0.000 0.250 Tl
0.500 0.000 0.750 Tl
0.500 0.500 0.250 Tl
0.500 0.500 0.750 Tl
0.000 0.000 0.500 Cd
```

---

Entry 6:
VASP calculation (GGA-PBE) on a geometry-optimized CaMg2Cu3 structure.

ΔE_f   -53 meV per atom

POSCAR file:
```
CaMg2Cu3
1.0
5.281 -3.835 0.000
5.281 3.835 0.000
0.000 0.000 5.762
Ca Mg Cu
2 4 6
direct
0.171 0.829 0.750 Ca
0.829 0.171 0.250 Ca
0.286 0.286 0.000 Mg
0.286 0.286 0.500 Mg
0.714 0.714 0.000 Mg
0.714 0.714 0.500 Mg
0.068 0.682 0.250 Cu
0.318 0.932 0.250 Cu
0.453 0.547 0.250 Cu
0.547 0.453 0.750 Cu
0.682 0.068 0.750 Cu
0.932 0.318 0.750 Cu
```

---

Entry 7:
VASP calculation (GGA-PBE) on a geometry-optimized MnAuSCl2 structure.

E_form (uncorrected)   5.09 kcal/mol of atoms

POSCAR file:
```
MnAuSCl2
1.0
4.819 0.000 0.000
0.000 4.819 0.000
0.000 0.000 4.235
Mn Au S Cl
1 1 1 2
direct
0.000 0.000 0.000 Mn
0.500 0.500 0.500 Au
0.000 0.000 0.500 S
0.000 0.500 0.000 Cl
0.500 0.000 0.000 Cl
```

---

Entry 8:
VASP calculation (GGA-PBE) on a geometry-optimized NdTeP structure.

E_form (uncorrected)   -25.72 kcal/mol of atoms

POSCAR file:
```
NdTeP
1.0
4.275 0.000 0.000
0.000 4.031 0.000
-0.617 0.000 9.152
Nd Te P
2 2 2
direct
0.218 0.250 0.245 Nd
0.782 0.750 0.755 Nd
0.260 0.250 0.624 Te
0.740 0.750 0.376 Te
0.348 0.750 0.988 P
0.652 0.250 0.012 P
```

---

Entry 9:
VASP calculation (GGA-PBE) on a geometry-optimized CsCo3I structure.

E_form (uncorrected)   51.94 kcal/mol of atoms

POSCAR file:
```
CsCo3I
1.0
4.964 0.000 0.000
0.000 4.964 0.000
0.000 0.000 4.964
Cs Co I
1 3 1
direct
0.000 0.000 0.000 Cs
0.000 0.000 0.500 Co
0.000 0.500 0.000 Co
0.500 0.000 0.000 Co
0.500 0.500 0.500 I
```

---

Entry 10:
VASP calculation (GGA-PBE) on a geometry-optimized CaGd2Ga structure.

ΔE_f   -189 meV per atom

POSCAR file:
```
CaGd2Ga
1.0
4.836 0.000 0.000
0.000 4.836 0.000
0.000 0.000 4.739
Ca Gd Ga
1 2 1
direct
0.000 0.000 0.000 Ca
0.000 0.500 0.500 Gd
0.500 0.000 0.500 Gd
0.500 0.500 0.000 Ga
```

---

Entry 11:
VASP calculation (GGA-PBE) on a geometry-optimized PaAs2S6 structure.

E_form (uncorrected)   -12.01 kcal/mol of atoms

POSCAR file:
```
PaAs2S6
1.0
7.440 -5.277 0.000
7.440 5.277 0.000
-2.733 0.000 5.982
Pa As S
2 4 12
direct
0.107 0.893 0.750 Pa
0.893 0.107 0.250 Pa
0.232 0.379 0.631 As
0.379 0.232 0.131 As
0.621 0.768 0.869 As
0.768 0.621 0.369 As
0.028 0.179 0.678 S
0.083 0.613 0.786 S
0.179 0.028 0.178 S
0.355 0.458 0.438 S
0.387 0.917 0.714 S
0.458 0.355 0.938 S
0.542 0.645 0.062 S
0.613 0.083 0.286 S
0.645 0.542 0.562 S
0.821 0.972 0.822 S
0.917 0.387 0.214 S
0.972 0.821 0.322 S
```

---

Entry 12:
VASP calculation (GGA-PBE) on a geometry-optimized CeInTe structure.

E_form (uncorrected)   -17.54 kcal/mol of atoms

POSCAR file:
```
CeInTe
1.0
6.397 0.000 0.000
0.000 5.012 0.000
0.000 0.000 10.768
Ce In Te
4 4 4
direct
0.249 0.250 0.107 Ce
0.251 0.750 0.607 Ce
0.749 0.250 0.393 Ce
0.751 0.750 0.893 Ce
0.001 0.250 0.750 In
0.499 0.750 0.250 In
0.501 0.250 0.750 In
0.999 0.750 0.250 In
0.249 0.250 0.414 Te
0.251 0.750 0.914 Te
0.749 0.250 0.086 Te
0.751 0.750 0.586 Te
```

---

Entry 13:
VASP calculation (GGA-PBE) on a geometry-optimized Mg3CdF structure.

E_form (uncorrected)   -4.00 kcal/mol of atoms

POSCAR file:
```
Mg3CdF
1.0
5.267 0.000 0.000
0.000 5.267 0.000
0.000 0.000 5.267
Mg Cd F
3 1 1
direct
0.000 0.000 0.500 Mg
0.000 0.500 0.000 Mg
0.500 0.000 0.000 Mg
0.000 0.000 0.000 Cd
0.500 0.500 0.500 F
```

---

Entry 14:
VASP calculation (GGA-PBE) on a geometry-optimized TlGaIr2 structure.

ΔE_f   453 meV per atom

POSCAR file:
```
TlGaIr2
1.0
4.233 0.000 0.000
0.000 4.233 0.000
0.000 0.000 17.531
Tl Ga Ir
4 4 8
direct
0.000 0.000 0.000 Tl
0.000 0.500 0.250 Tl
0.500 0.000 0.750 Tl
0.500 0.500 0.500 Tl
0.000 0.000 0.500 Ga
0.000 0.500 0.750 Ga
0.500 0.000 0.250 Ga
0.500 0.500 0.000 Ga
0.176 0.250 0.625 Ir
0.250 0.676 0.875 Ir
0.250 0.824 0.375 Ir
0.324 0.250 0.125 Ir
0.676 0.750 0.125 Ir
0.750 0.176 0.375 Ir
0.750 0.324 0.875 Ir
0.824 0.750 0.625 Ir
```

---

Entry 15:
VASP calculation (GGA-PBE) on a geometry-optimized ZnAs2Pb structure.

ΔE_f   280 meV per atom

POSCAR file:
```
ZnAs2Pb
1.0
4.134 0.000 0.000
0.000 4.134 0.000
0.000 0.000 5.215
Zn As Pb
1 2 1
direct
0.000 0.000 0.000 Zn
0.000 0.500 0.500 As
0.500 0.000 0.500 As
0.500 0.500 0.000 Pb
```

---

Entry 16:
VASP calculation (GGA-PBE) on a geometry-optimized PrBeSi structure.

E_form (uncorrected)   -11.90 kcal/mol of atoms

POSCAR file:
```
PrBeSi
1.0
3.957 0.000 0.000
0.000 4.297 0.000
0.000 0.000 6.895
Pr Be Si
2 2 2
direct
0.000 0.000 0.000 Pr
0.500 0.000 0.500 Pr
0.000 0.500 0.336 Be
0.000 0.500 0.664 Be
0.500 0.500 0.175 Si
0.500 0.500 0.825 Si
```

---

Entry 17:
VASP calculation (GGA-PBE) on a geometry-optimized OsW2 structure.

ΔE_f   155 meV per atom

POSCAR file:
```
OsW2
1.0
-1.967 1.967 12.143
1.967 -1.967 12.143
1.967 1.967 -12.143
Os W
4 8
direct
0.290 0.540 0.750 Os
0.460 0.710 0.750 Os
0.540 0.290 0.250 Os
0.710 0.460 0.250 Os
0.039 0.789 0.250 W
0.124 0.374 0.750 W
0.211 0.961 0.250 W
0.374 0.124 0.250 W
0.626 0.876 0.750 W
0.789 0.039 0.750 W
0.876 0.626 0.250 W
0.961 0.211 0.750 W
```

---

Entry 18:
VASP calculation (GGA-PBE) on a geometry-optimized Sc2CoI structure.

E_form (uncorrected)   -0.32 kcal/mol of atoms

POSCAR file:
```
Sc2CoI
1.0
7.175 0.000 0.000
0.000 7.175 0.000
0.000 0.000 7.185
Sc Co I
8 4 4
direct
0.184 0.250 0.125 Sc
0.250 0.684 0.375 Sc
0.250 0.816 0.875 Sc
0.316 0.250 0.625 Sc
0.684 0.750 0.625 Sc
0.750 0.184 0.875 Sc
0.750 0.316 0.375 Sc
0.816 0.750 0.125 Sc
0.000 0.000 0.000 Co
0.000 0.500 0.250 Co
0.500 0.000 0.750 Co
0.500 0.500 0.500 Co
0.000 0.000 0.500 I
0.000 0.500 0.750 I
0.500 0.000 0.250 I
0.500 0.500 0.000 I
```